{
  "formula": "BaNbOsO6",
  "functional": "PBE",
  "state": "optimized geometry",
  "mass_density_g_cm3": 6.13,
  "m_tot_mub_per_cell": 3.01,
  "n_ef_per_ev_atom": 0.139,
  "final_energy_ev_per_atom": -7.87,
  "lattice_angstrom": [[7.454, 0.000, 0.000], [0.000, 7.155, 0.000], [-3.727, -3.578, 5.250]],
  "species": ["Ba", "O", "O", "O", "O", "Os", "O", "Ba", "Nb", "O", "O", "O", "O", "Os", "O", "Nb", "O", "O"],
  "fractional_positions": [[0.178, 0.428, 0.356], [0.444, 0.098, 0.265], [0.444, 0.667, 0.265], [0.821, 0.098, 0.265], [0.458, 0.708, 0.916], [0.500, 0.000, 0.000], [0.542, 0.292, 0.084], [0.822, 0.572, 0.644], [0.500, 0.000, 0.500], [0.179, 0.333, 0.735], [0.179, 0.902, 0.735], [0.821, 0.667, 0.265], [0.556, 0.333, 0.735], [0.500, 0.500, 0.000], [0.181, 0.931, 0.363], [0.000, 0.000, 0.500], [0.556, 0.902, 0.735], [0.819, 0.069, 0.637]]
}


{
  "formula": "Ba2NbOs3O12",
  "functional": "PBE",
  "state": "optimized geometry",
  "mass_density_g_cm3": 6.74,
  "m_tot_mub_per_cell": 0.00,
  "n_ef_per_ev_atom": 0.429,
  "final_energy_ev_per_atom": -7.64,
  "lattice_angstrom": [[7.403, 0.111, 0.078], [3.752, 6.382, 0.078], [3.752, 2.184, 5.998]],
  "species": ["O", "O", "O", "Ba", "O", "O", "O", "Os", "O", "O", "Ba", "Nb", "Os", "O", "O", "Os", "O", "O"],
  "fractional_positions": [[0.668, 0.078, 0.078], [0.922, 0.922, 0.332], [0.069, 0.693, 0.693], [0.668, 0.668, 0.668], [0.693, 0.069, 0.693], [0.922, 0.332, 0.922], [0.693, 0.693, 0.069], [0.000, 0.000, 0.500], [0.078, 0.668, 0.078], [0.307, 0.931, 0.307], [0.332, 0.332, 0.332], [0.000, 0.000, 0.000], [0.000, 0.500, 0.000], [0.332, 0.922, 0.922], [0.078, 0.078, 0.668], [0.500, 0.000, 0.000], [0.931, 0.307, 0.307], [0.307, 0.307, 0.931]]
}


{
  "formula": "Ba3Nb2P4O18",
  "functional": "PBE",
  "state": "optimized geometry",
  "mass_density_g_cm3": 3.90,
  "m_tot_mub_per_cell": 0.00,
  "n_ef_per_ev_atom": 0.000,
  "final_energy_ev_per_atom": -7.73,
  "lattice_angstrom": [[-0.835, -4.675, -1.673], [0.225, -1.305, 9.051], [-9.122, 2.929, 1.178]],
  "species": ["O", "O", "O", "O", "O", "O", "O", "O", "O", "Ba", "P", "O", "O", "O", "P", "Ba", "O", "O", "O", "Ba", "O", "O", "Nb", "O", "P", "P", "Nb"],
  "fractional_positions": [[0.731, 0.922, 0.908], [0.448, 0.996, 0.645], [0.003, 0.500, 0.678], [0.269, 0.078, 0.092], [0.756, 0.435, 0.073], [0.556, 0.312, 0.287], [0.444, 0.688, 0.713], [0.244, 0.565, 0.927], [0.021, 0.068, 0.696], [0.982, 0.271, 0.905], [0.174, 0.621, 0.776], [0.248, 0.191, 0.490], [0.464, 0.254, 0.742], [0.024, 0.756, 0.785], [0.301, 0.131, 0.642], [0.018, 0.729, 0.095], [0.536, 0.746, 0.258], [0.997, 0.500, 0.322], [0.752, 0.809, 0.510], [0.500, 0.500, 0.500], [0.979, 0.932, 0.304], [0.976, 0.244, 0.215], [0.734, 0.882, 0.729], [0.552, 0.004, 0.355], [0.699, 0.869, 0.358], [0.826, 0.379, 0.224], [0.266, 0.118, 0.271]]
}


{
  "formula": "BaNbTePO8",
  "functional": "PBE",
  "state": "optimized geometry",
  "mass_density_g_cm3": 4.68,
  "m_tot_mub_per_cell": 0.00,
  "n_ef_per_ev_atom": 0.000,
  "final_energy_ev_per_atom": -7.30,
  "lattice_angstrom": [[6.846, 0.000, 0.000], [0.000, 7.690, 0.000], [0.000, 0.000, 27.852]],
  "species": ["O", "P", "O", "Te", "O", "O", "O", "O", "Ba", "O", "O", "O", "O", "Ba", "O", "O", "Te", "O", "Ba", "O", "O", "Ba", "O", "O", "P", "O", "O", "O", "O", "O", "P", "Nb", "Nb", "Te", "O", "O", "O", "O", "O", "P", "P", "Nb", "Nb", "O", "O", "O", "O", "O", "O", "O", "O", "O", "Nb", "Te", "O", "Nb", "Ba", "Ba", "P", "O", "O", "O", "O", "O", "Nb", "O", "Te", "O", "O", "O", "O", "Te", "O", "O", "O", "O", "O", "P", "O", "O", "Ba", "O", "Te", "O", "Ba", "P", "O", "O", "O", "O", "O", "O", "O", "Nb", "O", "Te"],
  "fractional_positions": [[0.285, 0.908, 0.003], [0.531, 0.820, 0.677], [0.821, 0.649, 0.569], [0.792, 0.862, 0.428], [0.429, 0.528, 0.203], [0.473, 0.050, 0.083], [0.041, 0.168, 0.059], [0.687, 0.886, 0.640], [0.973, 0.147, 0.301], [0.285, 0.592, 0.503], [0.429, 0.972, 0.703], [0.215, 0.408, 0.003], [0.679, 0.351, 0.069], [0.027, 0.853, 0.699], [0.858, 0.293, 0.214], [0.785, 0.592, 0.997], [0.708, 0.362, 0.428], [0.869, 0.707, 0.849], [0.527, 0.647, 0.301], [0.679, 0.149, 0.569], [0.929, 0.528, 0.297], [0.473, 0.147, 0.199], [0.313, 0.114, 0.360], [0.973, 0.450, 0.917], [0.031, 0.820, 0.823], [0.631, 0.207, 0.849], [0.687, 0.614, 0.140], [0.642, 0.793, 0.214], [0.369, 0.707, 0.651], [0.642, 0.707, 0.714], [0.031, 0.680, 0.323], [0.736, 0.585, 0.065], [0.236, 0.585, 0.435], [0.792, 0.638, 0.928], [0.179, 0.351, 0.431], [0.041, 0.332, 0.559], [0.459, 0.668, 0.059], [0.813, 0.386, 0.640], [0.071, 0.028, 0.203], [0.469, 0.320, 0.823], [0.969, 0.320, 0.677], [0.764, 0.415, 0.565], [0.764, 0.085, 0.065], [0.187, 0.614, 0.360], [0.187, 0.886, 0.860], [0.215, 0.092, 0.503], [0.527, 0.550, 0.417], [0.071, 0.472, 0.703], [0.869, 0.793, 0.349], [0.631, 0.293, 0.349], [0.973, 0.050, 0.417], [0.571, 0.028, 0.297], [0.264, 0.085, 0.435], [0.208, 0.138, 0.572], [0.131, 0.207, 0.651], [0.236, 0.915, 0.935], [0.973, 0.353, 0.801], [0.027, 0.647, 0.199], [0.469, 0.180, 0.323], [0.358, 0.293, 0.286], [0.142, 0.707, 0.786], [0.785, 0.908, 0.497], [0.459, 0.832, 0.559], [0.541, 0.168, 0.441], [0.264, 0.415, 0.935], [0.027, 0.950, 0.583], [0.708, 0.138, 0.928], [0.959, 0.668, 0.441], [0.179, 0.149, 0.931], [0.813, 0.114, 0.140], [0.369, 0.793, 0.151], [0.292, 0.638, 0.572], [0.358, 0.207, 0.786], [0.027, 0.550, 0.083], [0.959, 0.832, 0.941], [0.131, 0.293, 0.151], [0.858, 0.207, 0.714], [0.531, 0.680, 0.177], [0.541, 0.332, 0.941], [0.715, 0.092, 0.997], [0.473, 0.353, 0.699], [0.527, 0.950, 0.917], [0.292, 0.862, 0.072], [0.313, 0.386, 0.860], [0.527, 0.853, 0.801], [0.969, 0.180, 0.177], [0.321, 0.649, 0.931], [0.321, 0.851, 0.431], [0.821, 0.851, 0.069], [0.142, 0.793, 0.286], [0.929, 0.972, 0.797], [0.715, 0.408, 0.497], [0.473, 0.450, 0.583], [0.736, 0.915, 0.565], [0.571, 0.472, 0.797], [0.208, 0.362, 0.072]]
}


Repeat the second record exactly.
{
  "formula": "Ba2NbOs3O12",
  "functional": "PBE",
  "state": "optimized geometry",
  "mass_density_g_cm3": 6.74,
  "m_tot_mub_per_cell": 0.00,
  "n_ef_per_ev_atom": 0.429,
  "final_energy_ev_per_atom": -7.64,
  "lattice_angstrom": [[7.403, 0.111, 0.078], [3.752, 6.382, 0.078], [3.752, 2.184, 5.998]],
  "species": ["O", "O", "O", "Ba", "O", "O", "O", "Os", "O", "O", "Ba", "Nb", "Os", "O", "O", "Os", "O", "O"],
  "fractional_positions": [[0.668, 0.078, 0.078], [0.922, 0.922, 0.332], [0.069, 0.693, 0.693], [0.668, 0.668, 0.668], [0.693, 0.069, 0.693], [0.922, 0.332, 0.922], [0.693, 0.693, 0.069], [0.000, 0.000, 0.500], [0.078, 0.668, 0.078], [0.307, 0.931, 0.307], [0.332, 0.332, 0.332], [0.000, 0.000, 0.000], [0.000, 0.500, 0.000], [0.332, 0.922, 0.922], [0.078, 0.078, 0.668], [0.500, 0.000, 0.000], [0.931, 0.307, 0.307], [0.307, 0.307, 0.931]]
}